No. 1
5
Lattice="-1.382 1.164 3.457 -1.264 -3.621 0.714 3.610 -0.914 1.751" Properties=species:S:1:pos:R:3 comment="Mn2ZnCdH | Alexandria | GGA-PBE | optimized geometry" dos_at_fermi_per_ev_fu=2.784 sg=P4/mmm dft_energy_ev_per_cell=-23.01 pbc="T T T"
Zn 1.805 -0.457 0.875
Cd 0.482 -1.686 2.961
Mn -0.691 0.582 1.729
H 0.000 0.000 0.000
Mn -0.632 -1.810 0.357


No. 2
11
Lattice="-2.508 2.026 -2.369 1.928 -4.251 -5.676 -6.528 -4.844 6.147" Properties=species:S:1:pos:R:3 comment="Pm5Mg2Rh4 | Alexandria | GGA-PBE | optimized geometry" dos_at_fermi_per_ev_fu=5.671 sg=C2/m delta_e_f_kj_per_mol_fu=-525 dft_energy_ev_per_cell=-61.79 pbc="T T T"
Pm -5.356 -4.063 -1.184
Pm -1.752 -3.005 -0.715
Pm -0.782 -5.147 -3.574
Pm -1.254 1.013 -1.185
Mg -5.865 -5.117 1.833
Rh -7.684 -5.785 -0.192
Rh 0.576 -1.283 -1.707
Mg -1.243 -1.951 -3.732
Rh -3.902 -3.408 1.216
Pm -6.326 -1.921 1.675
Rh -3.206 -3.660 -3.115


No. 3
13
Lattice="4.896 0.000 0.000 2.448 5.874 0.000 2.448 0.000 5.874" Properties=species:S:1:pos:R:3 comment="DyZn4Ni8 | Alexandria | GGA-PBE | optimized geometry" dos_at_fermi_per_ev_fu=10.129 sg=I4/mmm delta_e_f_kj_per_mol_fu=-260 dft_energy_ev_per_cell=-58.64 pbc="T T T"
Zn 1.224 0.000 2.937
Ni 7.344 4.556 4.556
Ni 4.896 3.781 3.781
Ni 4.896 2.093 2.093
Dy 0.000 0.000 0.000
Zn 3.672 0.000 2.937
Zn 1.224 2.937 0.000
Ni 2.448 3.781 2.093
Ni 4.896 4.556 1.319
Ni 2.448 2.093 3.781
Ni 4.896 1.319 4.556
Zn 3.672 2.937 0.000
Ni 2.448 1.319 1.319